[1]
An optimized crystal structure of ErAg2SnSe4. Source: the Alexandria database, functional PBE-GGA.

a b c (Å): 6.922 4.104 7.159
angles (deg): 90.00 109.95 90.00
Space group P2/m (No. 10)
Inequivalent atoms, fractional coordinates:
Er (0.000, 0.000, 0.000)
Ag (0.500, 0.000, 0.500)
Ag (0.500, 0.500, 0.000)
Sn (0.000, 0.500, 0.500)
Se (0.246, 0.500, 0.247)
Se (0.254, 0.000, 0.754)

Calculated values
* E_form (uncorrected): -0.7122 eV/atom

[2]
An optimized crystal structure of ZrCoCu. Source: the Alexandria database, functional PBE-GGA.

a b c (Å): 3.992 8.934 5.004
angles (deg): 90.00 90.00 90.00
Space group Cmcm (No. 63)
Inequivalent atoms, fractional coordinates:
Zr (0.000, 0.204, 0.250)
Co (0.000, 0.098, 0.750)
Cu (0.000, 0.500, 0.000)

Calculated values
* excess energy over the best structure of this formula in the dataset: 0.000 eV per atom
* ΔE_f: -0.26 eV/atom